(1)
The following is a GGA-PBE calculation of a relaxed Np3Tl4BiTe8 crystal, from Alexandria.

- Uncorrected formation energy: -0.4878 eV per atom
- SG: R-3m
- D(E_F): 1.655 states/eV per atom

a b c (Å): 9.671 9.671 9.671
angles (deg): 55.83 55.83 55.83
Atoms (fractional coordinates):
Np 0.000 0.500 0.500
Np 0.500 0.000 0.500
Np 0.500 0.500 0.000
Tl 0.000 0.000 0.500
Tl 0.000 0.500 0.000
Tl 0.500 0.000 0.000
Tl 0.500 0.500 0.500
Bi 0.000 0.000 0.000
Te 0.241 0.241 0.734
Te 0.241 0.734 0.241
Te 0.262 0.262 0.262
Te 0.266 0.759 0.759
Te 0.734 0.241 0.241
Te 0.738 0.738 0.738
Te 0.759 0.266 0.759
Te 0.759 0.759 0.266

=====

(2)
The following is a GGA-PBE calculation of a relaxed B2AsS crystal, from Alexandria.

- ΔE to the lowest computed polymorph: 1333.3 meV/atom
- Uncorrected formation energy: 1.6773 eV per atom
- SG: Fm-3m
- D(E_F): 0.464 states/eV per atom

a b c (Å): 5.741 5.741 5.741
angles (deg): 90.00 90.00 90.00
Atoms (fractional coordinates):
B 0.250 0.250 0.250
B 0.250 0.250 0.750
B 0.250 0.750 0.250
B 0.250 0.750 0.750
B 0.750 0.250 0.250
B 0.750 0.250 0.750
B 0.750 0.750 0.250
B 0.750 0.750 0.750
As 0.000 0.000 0.000
As 0.000 0.500 0.500
As 0.500 0.000 0.500
As 0.500 0.500 0.000
S 0.000 0.000 0.500
S 0.000 0.500 0.000
S 0.500 0.000 0.000
S 0.500 0.500 0.500

=====

(3)
The following is a GGA-PBE calculation of a relaxed LaHg3I crystal, from Alexandria.

- ΔE to the lowest computed polymorph: 0.0 meV/atom
- Uncorrected formation energy: 0.1032 eV per atom
- SG: Pm-3m
- D(E_F): 1.017 states/eV per atom

a b c (Å): 6.288 6.288 6.288
angles (deg): 90.00 90.00 90.00
Atoms (fractional coordinates):
La 0.000 0.000 0.000
Hg 0.000 0.000 0.500
Hg 0.000 0.500 0.000
Hg 0.500 0.000 0.000
I 0.500 0.500 0.500

=====

(4)
The following is a GGA-PBE calculation of a relaxed Ti2CdNiB crystal, from Alexandria.

- DFT formation energy: 1.626 eV/atom
- SG: P4/mmm
- D(E_F): 0.851 states/eV per atom

a b c (Å): 5.045 5.045 3.942
angles (deg): 90.00 90.00 90.00
Atoms (fractional coordinates):
Ti 0.000 0.500 0.000
Ti 0.500 0.000 0.000
Cd 0.000 0.000 0.000
Ni 0.500 0.500 0.500
B 0.000 0.000 0.500

=====

| no. | electronic total energy (eV/atom) |
| --- | --- |
| 1 | -5.32 |
| 2 | -3.86 |
| 3 | -1.37 |
| 4 | -4.21 |